This record from the Alexandria database describes an optimized crystal structure of MgPaSnAu. The functional is GGA-PBE.

Unit cell a=5.071 b=5.071 c=5.071 alpha=60.00 beta=60.00 gamma=60.00
Element x y z (fractional)
Pa: 0.500 0.500 0.500
Au: 0.750 0.750 0.750
Mg: 0.000 0.000 0.000
Sn: 0.250 0.250 0.250

Values from the calculation:
**V**: 23.0 Å³/atom
**Symmetry**: F-43m
**Energy relative to the elements**: -0.265 eV/atom